Version a
## Pr3Nd6Ho (PBE-GGA)

Data for crystalline Pr3Nd6Ho at its relaxed geometry.

Results
The volume comes out at 36.21 Å³ per atom.

Cell and atoms, written as CIF:
```
data_Pr3Nd6Ho
_symmetry_space_group_name_H-M 'P 1'
_symmetry_Int_Tables_number 1
_symmetry_space_group_name_Hall 'P 1'
_cell_length_a 6.827
_cell_length_b 6.827
_cell_length_c 8.964
_cell_angle_alpha 100.31
_cell_angle_beta 100.31
_cell_angle_gamma 62.40
loop_
_atom_site_label
_atom_site_type_symbol
_atom_site_fract_x
_atom_site_fract_y
_atom_site_fract_z
Pr1 Pr 0.000 0.000 0.000
Pr2 Pr 0.465 0.465 0.660
Pr3 Pr 0.535 0.535 0.340
Nd1 Nd 0.026 0.484 0.313
Nd2 Nd 0.339 0.339 0.007
Nd3 Nd 0.484 0.026 0.313
Nd4 Nd 0.516 0.974 0.687
Nd5 Nd 0.661 0.661 0.993
Nd6 Nd 0.974 0.516 0.687
Ho1 Ho 0.000 0.000 0.500
```

***

Version b
## Pr3Nd6Ho (PBE-GGA)

Data for crystalline Pr3Nd6Ho at its relaxed geometry.

Results
The volume comes out at 35.36 Å³ per atom.

Cell and atoms, written as CIF:
```
data_Pr3Nd6Ho
_symmetry_space_group_name_H-M 'P 1'
_symmetry_Int_Tables_number 1
_symmetry_space_group_name_Hall 'P 1'
_cell_length_a 11.212
_cell_length_b 11.212
_cell_length_c 6.544
_cell_angle_alpha 90.00
_cell_angle_beta 90.00
_cell_angle_gamma 120.71
loop_
_atom_site_label
_atom_site_type_symbol
_atom_site_fract_x
_atom_site_fract_y
_atom_site_fract_z
Pr1 Pr 0.115 0.885 0.500
Pr2 Pr 0.209 0.442 0.884
Pr3 Pr 0.442 0.209 0.384
Pr4 Pr 0.558 0.791 0.884
Pr5 Pr 0.791 0.558 0.384
Pr6 Pr 0.885 0.115 0.000
Nd1 Nd 0.025 0.442 0.290
Nd2 Nd 0.128 0.213 0.478
Nd3 Nd 0.213 0.128 0.978
Nd4 Nd 0.224 0.776 0.071
Nd5 Nd 0.442 0.025 0.790
Nd6 Nd 0.465 0.535 0.283
Nd7 Nd 0.535 0.465 0.783
Nd8 Nd 0.558 0.975 0.290
Nd9 Nd 0.776 0.224 0.571
Nd10 Nd 0.787 0.872 0.478
Nd11 Nd 0.872 0.787 0.978
Nd12 Nd 0.975 0.558 0.790
Ho1 Ho 0.309 0.691 0.534
Ho2 Ho 0.691 0.309 0.034
```

***

So which one wins? Going from most stable to least: version b, version a.